# 1
Ba5Ga2S8 | meta-GGA SCAN | PBEsol geometry

Lattice parameters (Å, degrees): 11.7702 12.0294 12.7124 118.24 90.00 90.00
With the nearest neighbours (Å) after each atom.
Positions (direct):
S (0.0028, 0.9619, 0.6248)  1 Ga 2.27
S (0.9625, 0.8545, 0.0000)  1 Ga 2.35
S (0.9972, 0.6629, 0.6248)  1 Ga 2.27
S (0.7579, 0.3380, 0.1853)  1 Ga 2.25
S (0.6496, 0.8130, 0.6256)  1 Ga 2.26
S (0.3504, 0.1870, 0.3744)  1 Ga 2.26
Ba (0.9944, 0.5622, 0.8051)  7 S 3.06-3.33
Ga (0.7322, 0.3121, 0.0000)  4 S 2.25-2.36
S (0.0375, 0.1455, 0.0000)  1 Ga 2.35
S (0.2579, 0.3473, 0.1853)  1 Ga 2.25
S (0.5028, 0.5381, 0.3752)  1 Ga 2.27
Ba (0.7500, 0.5062, 0.5000)  10 S 3.42-3.59
Ga (0.5000, 0.2505, 0.5010)  4 S 2.26-2.27
Ga (0.2322, 0.1879, 0.0000)  4 S 2.25-2.36
Ba (0.4944, 0.7429, 0.8051)  7 S 3.06-3.33
S (0.0028, 0.3371, 0.3752)  1 Ga 2.27
S (0.8485, 0.4720, 0.0000)  1 Ga 2.36
Ba (0.7500, 0.0062, 0.5000)  10 S 3.42-3.59
Ba (0.8426, 0.1053, 0.2016)  7 S 2.98-3.34
Ba (0.5056, 0.0622, 0.8051)  7 S 3.06-3.33
Ga (0.0000, 0.7505, 0.5010)  4 S 2.26-2.27
S (0.4972, 0.4619, 0.6248)  1 Ga 2.27
S (0.2579, 0.1620, 0.8147)  1 Ga 2.25
Ba (0.3426, 0.5963, 0.2016)  7 S 2.98-3.34
S (0.1496, 0.3126, 0.6256)  1 Ga 2.26
S (0.1496, 0.6870, 0.3744)  1 Ga 2.26
S (0.6515, 0.9720, 0.0000)  1 Ga 2.36
Ba (0.1574, 0.0963, 0.2016)  7 S 2.98-3.34
Ga (0.7678, 0.8121, 0.0000)  4 S 2.25-2.36
Ba (0.4944, 0.9378, 0.1949)  7 S 3.06-3.33
S (0.5375, 0.3545, 0.0000)  1 Ga 2.35
S (0.4972, 0.8371, 0.3752)  1 Ga 2.27
S (0.7421, 0.6527, 0.8147)  1 Ga 2.25
S (0.4625, 0.6455, 0.0000)  1 Ga 2.35
Ba (0.3426, 0.3947, 0.7984)  7 S 2.98-3.34
Ba (0.0056, 0.4378, 0.1949)  7 S 3.06-3.33
S (0.8504, 0.6874, 0.3744)  1 Ga 2.26
Ba (0.1574, 0.8947, 0.7984)  7 S 2.98-3.34
Ba (0.6574, 0.6053, 0.2016)  7 S 2.98-3.34
Ba (0.2500, 0.4938, 0.5000)  10 S 3.42-3.59
S (0.5028, 0.1629, 0.6248)  1 Ga 2.27
S (0.8504, 0.3130, 0.6256)  1 Ga 2.26
Ga (0.0000, 0.2495, 0.4990)  4 S 2.26-2.27
Ba (0.2500, 0.9938, 0.5000)  10 S 3.42-3.59
S (0.3485, 0.0280, 0.0000)  1 Ga 2.36
Ba (0.8426, 0.9037, 0.7984)  7 S 2.98-3.34
Ba (0.5056, 0.2571, 0.1949)  7 S 3.06-3.33
S (0.2421, 0.6620, 0.8147)  1 Ga 2.25
S (0.2421, 0.8473, 0.1853)  1 Ga 2.25
Ba (0.0056, 0.2429, 0.8051)  7 S 3.06-3.33
Ba (0.9944, 0.7571, 0.1949)  7 S 3.06-3.33
S (0.7421, 0.8380, 0.1853)  1 Ga 2.25
Ga (0.5000, 0.7495, 0.4990)  4 S 2.26-2.27
Ba (0.6574, 0.4037, 0.7984)  7 S 2.98-3.34
S (0.6496, 0.1874, 0.3744)  1 Ga 2.26
S (0.9972, 0.0381, 0.3752)  1 Ga 2.27
S (0.7579, 0.1527, 0.8147)  1 Ga 2.25
S (0.1515, 0.5280, 0.0000)  1 Ga 2.36
S (0.3504, 0.8126, 0.6256)  1 Ga 2.26
Ga (0.2678, 0.6879, 0.0000)  4 S 2.25-2.36

## Properties
Crystal system: orthorhombic
Space-group type: No. 64
Calculated volume in Å³/cell: 1585.7
ΔE_f (raw) in eV per atom: -1.915
Density in g cm⁻³: 4.53
Size of the total moment in μB/f.u.: 0.0

---

# 2
CaMnV4Cu2O12 | meta-GGA SCAN | PBEsol geometry

Lattice parameters (Å, degrees): 6.2857 6.2857 6.2857 70.94 70.49 109.85
With the nearest neighbours (Å) after each atom.
Positions (direct):
V (0.0000, 0.5000, 0.0000)  6 O 1.90-1.93
Mn (0.5000, 0.0000, 0.5000)  4 O 1.95
Ca (0.0000, 0.0000, 0.0000)  12 O 2.55-2.59
O (0.3039, 0.4915, 0.8124)  2 V 1.91, 1 Cu 1.97
O (0.6961, 0.8836, 0.8124)  2 V 1.91, 1 Cu 1.97
V (0.0000, 0.0000, 0.5000)  6 O 1.90-1.93
O (0.4819, 0.1809, 0.6989)  2 V 1.93, 1 Mn 1.95
O (0.3039, 0.1164, 0.1876)  2 V 1.91, 1 Cu 1.97
Cu (0.0000, 0.5000, 0.5000)  4 O 1.98
O (0.8172, 0.7011, 0.4817)  2 V 1.90, 1 Cu 1.98
O (0.8798, 0.1809, 0.3011)  2 V 1.93, 1 Mn 1.95
Cu (0.5000, 0.5000, 0.0000)  4 O 1.97
V (0.5000, 0.5000, 0.5000)  6 O 1.90-1.93
O (0.8172, 0.2989, 0.8840)  2 V 1.90, 1 Cu 1.98
O (0.5181, 0.8191, 0.3011)  2 V 1.93, 1 Mn 1.95
V (0.5000, 0.0000, 0.0000)  6 O 1.90-1.93
O (0.1828, 0.7011, 0.1160)  2 V 1.90, 1 Cu 1.98
O (0.6961, 0.5085, 0.1876)  2 V 1.91, 1 Cu 1.97
O (0.1828, 0.2989, 0.5183)  2 V 1.90, 1 Cu 1.98
O (0.1202, 0.8191, 0.6989)  2 V 1.93, 1 Mn 1.95

## Properties
Crystal system: orthorhombic
Space-group type: No. 71
Calculated volume in Å³/cell: 191.2
ΔE_f (raw) in eV per atom: -2.354
Density in g cm⁻³: 5.37
Size of the total moment in μB/f.u.: 7.0

---

# 3
KSi2Cl | meta-GGA SCAN | PBEsol geometry

Lattice parameters (Å, degrees): 3.7894 3.7894 7.2734 90.00 90.00 90.00
With the nearest neighbours (Å) after each atom.
Positions (direct):
Cl (0.5000, 0.5000, 0.5000)  4 K 2.68
Si (0.5000, 0.0000, 0.0000)  4 Si 2.68
K (0.0000, 0.0000, 0.5000)  4 Cl 2.68
Si (0.0000, 0.5000, 0.0000)  4 Si 2.68

## Properties
Crystal system: tetragonal
Space-group type: No. 123
Excess energy over the best structure of this formula in the dataset in kJ/mol of formula units: 110
Calculated volume in Å³/cell: 104.4
ΔE_f (raw) in eV per atom: -0.085
Density in g cm⁻³: 2.08
Size of the total moment in μB/f.u.: 0.0

---

# 4
Sc2CuSi2 | meta-GGA SCAN | PBEsol geometry

Lattice parameters (Å, degrees): 4.0962 6.2799 6.2799 90.00 90.00 90.00
With the nearest neighbours (Å) after each atom.
Positions (direct):
Cu (0.0000, 0.0000, 0.0000)  4 Si 2.45
Cu (0.0000, 0.5000, 0.5000)  4 Si 2.45
Sc (0.5000, 0.6707, 0.8293)  6 Si 2.68-2.81
Si (0.0000, 0.1341, 0.3659)  1 Si 2.38, 2 Cu 2.45
Si (0.0000, 0.3659, 0.8659)  1 Si 2.38, 2 Cu 2.45
Sc (0.5000, 0.8293, 0.3293)  6 Si 2.68-2.81
Si (0.0000, 0.6341, 0.1341)  1 Si 2.38, 2 Cu 2.45
Sc (0.5000, 0.3293, 0.1707)  6 Si 2.68-2.81
Sc (0.5000, 0.1707, 0.6707)  6 Si 2.68-2.81
Si (0.0000, 0.8659, 0.6341)  1 Si 2.38, 2 Cu 2.45

## Properties
Crystal system: tetragonal
Space-group type: No. 127
Calculated volume in Å³/cell: 161.5
ΔE_f (raw) in eV per atom: -0.703
Density in g cm⁻³: 4.31
Size of the total moment in μB/f.u.: 0.0

---

# 5
NbTe2Rh | meta-GGA SCAN | PBEsol geometry

Lattice parameters (Å, degrees): 4.7524 4.7524 4.7524 60.00 60.00 60.00
With the nearest neighbours (Å) after each atom.
Positions (direct):
Te (0.2500, 0.2500, 0.2500)  4 Rh 2.91, 4 Nb 2.91
Rh (0.5000, 0.5000, 0.5000)  8 Te 2.91
Nb (0.0000, 0.0000, 0.0000)  8 Te 2.91
Te (0.7500, 0.7500, 0.7500)  4 Rh 2.91, 4 Nb 2.91

## Properties
Crystal system: cubic
Space-group type: No. 225
Calculated volume in Å³/cell: 75.9
ΔE_f (raw) in eV per atom: -0.012
Density in g cm⁻³: 9.87
Size of the total moment in μB/f.u.: 0.0

---

# 6
FeHg2MoIr | meta-GGA SCAN | PBEsol geometry

Lattice parameters (Å, degrees): 4.5590 5.0880 5.0880 90.00 90.00 90.00
With the nearest neighbours (Å) after each atom.
Positions (direct):
Hg (0.0000, 0.5000, 0.0000)  2 Ir 2.54
Hg (0.0000, 0.0000, 0.5000)  2 Ir 2.54
Ir (0.0000, 0.0000, 0.0000)  2 Fe 2.28, 4 Hg 2.54
Mo (0.5000, 0.5000, 0.5000)  8 Hg 3.42, 4 Fe 3.60
Fe (0.5000, 0.0000, 0.0000)  2 Ir 2.28

## Properties
Crystal system: tetragonal
Space-group type: No. 123
Formation enthalpy at 0 K in eV per atom: 1.32
Calculated volume in Å³/cell: 118.0
Density in g cm⁻³: 10.48
Size of the total moment in μB/f.u.: 8.4

---

# 7
Mn3CuAg | meta-GGA SCAN | PBEsol geometry

Lattice parameters (Å, degrees): 4.7723 4.7723 4.7723 90.00 90.00 90.00
With the nearest neighbours (Å) after each atom.
Positions (direct):
Mn (0.5000, 0.0000, 0.0000)  2 Ag 2.39
Cu (0.5000, 0.5000, 0.5000)  12 Mn 3.37
Mn (0.0000, 0.0000, 0.5000)  2 Ag 2.39
Mn (0.0000, 0.5000, 0.0000)  2 Ag 2.39
Ag (0.0000, 0.0000, 0.0000)  6 Mn 2.39

## Properties
Crystal system: cubic
Space-group type: No. 221
Formation enthalpy at 0 K in eV per atom: 1.00
Calculated volume in Å³/cell: 108.7
Density in g cm⁻³: 5.14
Size of the total moment in μB/f.u.: 13.7

---

# 8
SnHPb2 | meta-GGA SCAN | PBEsol geometry

Lattice parameters (Å, degrees): 5.1026 5.1026 5.1026 60.00 60.00 60.00
With the nearest neighbours (Å) after each atom.
Positions (direct):
Pb (0.7500, 0.7500, 0.7500)  4 H 3.12, 4 Sn 3.12
Sn (0.5000, 0.5000, 0.5000)  8 Pb 3.12
Pb (0.2500, 0.2500, 0.2500)  4 Sn 3.12, 4 H 3.12
H (0.0000, 0.0000, 0.0000)  8 Pb 3.12

## Properties
Crystal system: cubic
Space-group type: No. 225
Calculated volume in Å³/cell: 93.9
Density in g cm⁻³: 9.44
Size of the total moment in μB/f.u.: 0.0

---

# 9
Mn3Ni20B6 | meta-GGA SCAN | PBEsol geometry

Lattice parameters (Å, degrees): 7.3205 7.3205 7.3205 60.00 60.00 60.00
With the nearest neighbours (Å) after each atom.
Positions (direct):
Mn (0.0000, 0.0000, 0.0000)  12 Ni 2.48
Ni (0.0000, 0.6606, 0.3394)  2 B 2.05
Ni (0.0000, 0.0000, 0.3394)  2 B 2.05
B (0.7287, 0.2713, 0.7287)  8 Ni 2.05-2.07
Ni (0.3394, 0.0000, 0.6606)  2 B 2.05
Ni (0.3826, 0.3826, 0.8521)  3 B 2.07
Ni (0.6606, 0.0000, 0.3394)  2 B 2.05
Ni (0.3394, 0.6606, 0.0000)  2 B 2.05
B (0.7287, 0.7287, 0.2713)  8 Ni 2.05-2.07
Ni (0.0000, 0.6606, 0.0000)  2 B 2.05
Ni (0.3826, 0.8521, 0.3826)  3 B 2.07
Ni (0.6606, 0.0000, 0.0000)  2 B 2.05
B (0.2713, 0.7287, 0.7287)  8 Ni 2.05-2.07
Ni (0.3394, 0.0000, 0.0000)  2 B 2.05
B (0.2713, 0.2713, 0.7287)  8 Ni 2.05-2.07
Ni (0.3826, 0.3826, 0.3826)  3 B 2.07
Ni (0.0000, 0.3394, 0.6606)  2 B 2.05
Ni (0.0000, 0.3394, 0.0000)  2 B 2.05
Ni (0.6174, 0.6174, 0.6174)  3 B 2.07
B (0.2713, 0.7287, 0.2713)  8 Ni 2.05-2.07
Mn (0.7500, 0.7500, 0.7500)  4 Ni 2.38
Ni (0.8521, 0.3826, 0.3826)  3 B 2.07
Ni (0.6606, 0.3394, 0.0000)  2 B 2.05
B (0.7287, 0.2713, 0.2713)  8 Ni 2.05-2.07
Ni (0.6174, 0.1479, 0.6174)  3 B 2.07
Ni (0.0000, 0.0000, 0.6606)  2 B 2.05
Ni (0.1479, 0.6174, 0.6174)  3 B 2.07
Ni (0.6174, 0.6174, 0.1479)  3 B 2.07
Mn (0.2500, 0.2500, 0.2500)  4 Ni 2.38

## Properties
Crystal system: cubic
Space-group type: No. 225
Formation enthalpy at 0 K in eV per atom: -0.32
Calculated volume in Å³/cell: 277.4
Density in g cm⁻³: 8.40
Size of the total moment in μB/f.u.: 14.7

---

# 10
RbLiMgB2 | meta-GGA SCAN | PBEsol geometry

Lattice parameters (Å, degrees): 4.5591 4.5591 5.5940 90.00 90.00 90.00
With the nearest neighbours (Å) after each atom.
Positions (direct):
B (0.5000, 0.0000, 0.0000)  2 Mg 2.28
B (0.0000, 0.5000, 0.0000)  2 Mg 2.28
Mg (0.0000, 0.0000, 0.0000)  4 B 2.28
Rb (0.0000, 0.0000, 0.5000)  2 Mg 2.80
Li (0.5000, 0.5000, 0.5000)  4 Rb 3.22, 8 B 3.61

## Properties
Crystal system: tetragonal
Space-group type: No. 123
Formation enthalpy at 0 K in eV per atom: 1.59
Calculated volume in Å³/cell: 116.3
Density in g cm⁻³: 1.98
Size of the total moment in μB/f.u.: 0.0

---

# 11
FeTeIr2 | meta-GGA SCAN | PBEsol geometry

Lattice parameters (Å, degrees): 2.9638 4.5846 4.8975 99.66 90.00 108.86
With the nearest neighbours (Å) after each atom.
Positions (direct):
Fe (0.7410, 0.4820, 0.2097)  5 Ir 2.57-2.65, 3 Te 2.70-2.86
Te (0.5024, 0.0048, 0.4950)  3 Fe 2.70-2.86, 7 Ir 2.72-3.01, 2 Te 2.96
Ir (0.2541, 0.5082, 0.7656)  2 Fe 2.65, 3 Te 2.72-2.77, 5 Ir 2.73-2.96
Ir (0.0025, 0.0050, 0.0298)  3 Fe 2.57-2.58, 2 Te 2.72, 3 Ir 2.73-2.74

## Properties
Crystal system: monoclinic
Space-group type: No. 8
Calculated volume in Å³/cell: 62.0
ΔE_f (raw) in eV per atom: 0.378
Density in g cm⁻³: 15.22
Size of the total moment in μB/f.u.: 3.1

---

# 12
SbAsSI2 | meta-GGA SCAN | PBEsol geometry

Lattice parameters (Å, degrees): 5.1890 5.1890 5.4278 90.00 90.00 90.00
With the nearest neighbours (Å) after each atom.
Positions (direct):
I (0.5000, 0.0000, 0.0000)  2 S 2.59
I (0.0000, 0.5000, 0.0000)  2 S 2.59
Sb (0.0000, 0.0000, 0.5000)  2 S 2.71
As (0.5000, 0.5000, 0.5000)  4 Sb 3.67, 8 I 3.75
S (0.0000, 0.0000, 0.0000)  4 I 2.59, 2 Sb 2.71

## Properties
Crystal system: tetragonal
Space-group type: No. 123
Calculated volume in Å³/cell: 146.1
ΔE_f (raw) in eV per atom: 0.843
Density in g cm⁻³: 5.48
Size of the total moment in μB/f.u.: 0.6

---

Number 1: E_tot -22.413 eV/atom. Number 2: E_tot -12.506 eV/atom. Number 3: E_tot -9.170 eV/atom. Number 4: E_tot -13.444 eV/atom. Number 5: E_tot -35.362 eV/atom. Number 6: E_tot -50.766 eV/atom. Number 7: E_tot -19.265 eV/atom. Number 8: E_tot -47.300 eV/atom. Number 9: E_tot -14.897 eV/atom. Number 10: E_tot -7.007 eV/atom. Number 11: E_tot -49.016 eV/atom. Number 12: E_tot -27.269 eV/atom.